Arrangement P

DFT (SCAN) results for CdFeOs2 at its PBEsol-relaxed geometry.

**Size of the total moment**: 3.04 μB per formula unit
**V**: 14.7 A^3/atom
**Space group**: Pmm2 (25)

a b c (Å): 2.7520 3.8029 5.6096
angles (deg): 90.00 90.00 90.00
Closest atoms and distances in Å follow each position.
Element x y z (fractional)
Os 0.0000 0.0000 0.0085  6 Os 2.60-2.75, 4 Fe 2.70, 2 Cd 2.79-2.82
Os 0.5000 0.5000 0.2097  1 Fe 2.47, 6 Os 2.60-2.75
Fe 0.5000 0.5000 0.7700  5 Os 2.47-2.70, 2 Fe 2.75, 4 Cd 2.76
Cd 0.0000 0.0000 0.5117  2 Cd 2.75, 4 Fe 2.76, 6 Os 2.79-2.89

Arrangement Q

DFT (SCAN) results for CdFeOs2 at its PBEsol-relaxed geometry.

**Size of the total moment**: 3.47 μB per formula unit
**V**: 14.3 A^3/atom
**Space group**: I-4m2 (119)

a b c (Å): 3.8983 3.8983 4.6722
angles (deg): 114.66 114.66 90.00
Closest atoms and distances in Å follow each position.
Element x y z (fractional)
Fe 0.2500 0.7500 0.5000  4 Cd 2.71, 8 Os 2.71-2.76
Os 0.0000 0.0000 0.0000  4 Fe 2.71, 4 Os 2.71, 4 Cd 2.76
Os 0.7500 0.2500 0.5000  4 Cd 2.71, 4 Os 2.71, 4 Fe 2.76
Cd 0.5000 0.5000 0.0000  4 Fe 2.71, 8 Os 2.71-2.76

Which is most stable? The ranking, best first, is arrangement P, arrangement Q.